1.
The following is a PBE calculation of an optimized crystal structure of RbTa2AlO, from the Alexandria database.

For the polymorph energy (0 for the lowest one), the calculation gives 2.955 eV per atom. For the total magnetization, the calculation gives 0.0 μB/cell. Its density of states at the Fermi level is 1.00 states/eV/atom. For the formation energy without anion corrections, the calculation gives 3.445 eV per atom.

The space group is P4/mmm (No. 123) and the conventional cell measures 4.845, 4.845 and 5.199 Å, with angles of 90.00, 90.00 and 90.00 degrees. The distinct sites, in fractional coordinates, are Rb at (0.000, 0.000, 0.000), Ta at (0.000, 0.500, 0.000), Al at (0.000, 0.000, 0.500) and O at (0.500, 0.500, 0.500).



2.
The following is a PBE calculation of an optimized crystal structure of Rb2TbAlO4, from the Alexandria database.

For the total magnetization, the calculation gives 0.0 μB/cell. Its density of states at the Fermi level is 0.00 states/eV/atom. For the formation energy without anion corrections, the calculation gives -2.228 eV per atom.

The space group is Fddd (No. 70, origin choice 2) and the conventional cell measures 5.573, 12.548 and 23.000 Å, with angles of 90.00, 90.00 and 90.00 degrees. The distinct sites, in fractional coordinates, are Rb at (0.125, 0.125, 0.312), Tb at (0.125, 0.125, 0.125), Al at (0.125, 0.125, 0.625) and O at (0.082, 0.289, 0.836).



3.
The following is a PBE calculation of an optimized crystal structure of Rb3TbAl2O6, from the Alexandria database.

For the total magnetization, the calculation gives 0.0 μB/cell. Its density of states at the Fermi level is 0.00 states/eV/atom. For the formation energy without anion corrections, the calculation gives -2.370 eV per atom.

The space group is P-3m1 (No. 164) and the conventional cell measures 6.1196, 6.1196 and 7.3772 Å, with angles of 90.00, 90.00 and 120.00 degrees. The distinct sites, in fractional coordinates, are Rb at (0.0000, 0.0000, 0.0000), Rb at (0.3333, 0.6667, 0.7512), Tb at (0.0000, 0.0000, 0.5000), Al at (0.3333, 0.6667, 0.3064) and O at (0.1719, 0.3439, 0.3063).



4.
The following is a PBE calculation of an optimized crystal structure of Rb4Tb3AlO8, from the Alexandria database.

For the total magnetization, the calculation gives 0.0 μB/cell. Its density of states at the Fermi level is 0.00 states/eV/atom. For the formation energy without anion corrections, the calculation gives -2.470 eV per atom.

The space group is C2/m (No. 12) and the conventional cell measures 11.853, 6.836 and 7.628 Å, with angles of 90.00, 121.20 and 90.00 degrees. The distinct sites, in fractional coordinates, are Rb at (0.000, 0.000, 0.000), Rb at (0.000, 0.500, 0.000), Rb at (0.250, 0.250, 0.000), Tb at (0.000, 0.000, 0.500), Tb at (0.250, 0.250, 0.500), Al at (0.000, 0.500, 0.500), O at (0.020, 0.272, 0.332), O at (0.210, 0.500, 0.669) and O at (0.226, 0.000, 0.678).